No. 1
Compound: TaHg3Os
Source: the Alexandria database
Functional: PBE-GGA
Structure: relaxed

Cell lengths 5.145, 5.145, 5.145 Å; angles 90.00, 90.00, 90.00 degrees
Space group Pm-3m (No. 221)
Unique sites:
Ta 0.000 0.000 0.000 x1
Hg 0.000 0.500 0.500 x3
Os 0.500 0.500 0.500 x1

Calculated values
**Mass density**: 11.86 g/cm³
**Energy above the most stable polymorph in this dataset**: 0.000 eV per atom
**E_tot**: -3.0356 eV/atom
**Formation energy**: 1.76 eV per atom
**Density of states at the Fermi level**: 4.86 states/eV/cell

=====

No. 2
Compound: Ta3HgOs
Source: the Alexandria database
Functional: PBE-GGA
Structure: relaxed

Cell lengths 4.861, 4.861, 4.861 Å; angles 90.00, 90.00, 90.00 degrees
Space group Pm-3m (No. 221)
Unique sites:
Ta 0.000 0.000 0.500 x3
Hg 0.500 0.500 0.500 x1
Os 0.000 0.000 0.000 x1

Calculated values
**Mass density**: 13.49 g/cm³
**Energy above the most stable polymorph in this dataset**: 0.000 eV per atom
**E_tot**: -8.3292 eV/atom
**Formation energy**: 1.09 eV per atom
**Density of states at the Fermi level**: 3.36 states/eV/cell

=====

No. 3
Compound: Ta4Hg2Os
Source: the Alexandria database
Functional: PBE-GGA
Structure: relaxed

Cell lengths 4.823, 4.823, 14.069 Å; angles 90.00, 90.00, 90.00 degrees
Space group I4/mmm (No. 139)
Unique sites:
Ta 0.000 0.000 0.173 x4
Ta 0.000 0.500 0.000 x4
Hg 0.000 0.000 0.369 x4
Os 0.000 0.000 0.000 x2

Calculated values
**Mass density**: 13.34 g/cm³
**E_tot**: -7.2693 eV/atom
**Formation energy**: 1.19 eV per atom
**Density of states at the Fermi level**: 13.83 states/eV/cell

=====

No. 4
Compound: TaHgOs3
Source: the Alexandria database
Functional: PBE-GGA
Structure: relaxed

Cell lengths 4.771, 4.771, 4.771 Å; angles 90.00, 90.00, 90.00 degrees
Space group Pm-3m (No. 221)
Unique sites:
Ta 0.000 0.000 0.000 x1
Hg 0.500 0.500 0.500 x1
Os 0.000 0.500 0.500 x3

Calculated values
**Mass density**: 14.56 g/cm³
**Energy above the most stable polymorph in this dataset**: 0.896 eV per atom
**E_tot**: -6.0860 eV/atom
**Formation energy**: 3.08 eV per atom
**Density of states at the Fermi level**: 4.74 states/eV/cell